Pr5Nd2Au4: relaxed, GGA-PBE.

Summary:
The calculation puts the total magnetization at 0.000 μB per formula unit. Its total energy is -4.6425 eV per atom. Its formation energy is -0.411 eV/atom.

```
data_Pr5Nd2Au4
_space_group_name_H-M_alt 'C 1 2/m 1'
_space_group_IT_number 12
_cell_length_a 24.813
_cell_length_b 3.936
_cell_length_c 7.177
_cell_angle_alpha 90.00
_cell_angle_beta 94.30
_cell_angle_gamma 90.00
loop_
_space_group_symop_operation_xyz
'x,y,z'
'-x,-y,-z'
'-x,y,-z'
'x,-y,z'
'x+1/2,y+1/2,z'
'-x+1/2,-y+1/2,-z'
'-x+1/2,y+1/2,-z'
'x+1/2,-y+1/2,z'
loop_
_atom_site_label
_atom_site_type_symbol
_atom_site_fract_x
_atom_site_fract_y
_atom_site_fract_z
_atom_site_occupancy
Pr1 Pr 0.000 0.000 0.000 1
Pr2 Pr 0.104 0.500 0.388 1
Pr3 Pr 0.133 0.500 0.909 1
Nd1 Nd 0.227 0.000 0.243 1
Au1 Au 0.021 0.500 0.690 1
Au2 Au 0.180 0.000 0.638 1
```